CdFeTeIr2 | Alexandria via LeMat-Bulk | PBE-GGA | relaxed; uncorrected formation energy = 1696.1 meV per atom; theoretical density = 9062 kg/m3; SG = P4/mmm; total DFT energy (no corrections) = -4.3522 eV/atom
1.0
4.881 0.000 0.000
0.000 4.881 0.000
0.000 0.000 5.233
Cd Fe Te Ir
1 1 1 2
direct
0.000 0.000 0.000 Cd
0.500 0.500 0.000 Fe
0.000 0.000 0.500 Te
0.000 0.500 0.500 Ir
0.500 0.000 0.500 Ir